(1)
# Ac3RuI2 (PBE-GGA, relaxed)
# - magnetic moment (Bohr magnetons per cell) = 0.0
# - calculated volume (Å³/f.u.) = 227.3
# - total DFT energy (no corrections) (eV/atom) = -4.909
data_Ac3RuI2
_symmetry_space_group_name_H-M 'I m m m'
_symmetry_Int_Tables_number 71
_symmetry_space_group_name_Hall '-I 2 2'
_cell_length_a 4.281
_cell_length_b 6.392
_cell_length_c 16.611
_cell_angle_alpha 90.00
_cell_angle_beta 90.00
_cell_angle_gamma 90.00
loop_
_atom_site_label
_atom_site_fract_x
_atom_site_fract_y
_atom_site_fract_z
Ac1 0.000 0.000 0.000
Ac2 0.000 0.000 0.383
Ru1 0.000 0.500 0.000
I1 0.000 0.500 0.310

(2)
# Ac12Ru5I3 (PBE-GGA, relaxed)
# - magnetic moment (Bohr magnetons per cell) = 0.0
# - calculated volume (Å³/f.u.) = 796.7
# - total DFT energy (no corrections) (eV/atom) = -5.218
data_Ac12Ru5I3
_symmetry_space_group_name_H-M 'I a -3 d'
_symmetry_Int_Tables_number 230
_symmetry_space_group_name_Hall '-I 4bd 2c 3'
_cell_length_a 18.541
_cell_length_b 18.541
_cell_length_c 18.541
_cell_angle_alpha 90.00
_cell_angle_beta 90.00
_cell_angle_gamma 90.00
loop_
_atom_site_label
_atom_site_fract_x
_atom_site_fract_y
_atom_site_fract_z
Ac1 0.036 0.051 0.645
Ru1 0.000 0.000 0.000
Ru2 0.000 0.250 0.375
I1 0.000 0.250 0.125

(3)
# Ac6Ru2SI3 (PBE-GGA, relaxed)
# - magnetic moment (Bohr magnetons per cell) = 0.0
# - calculated volume (Å³/f.u.) = 433.7
# - total DFT energy (no corrections) (eV/atom) = -5.329
data_Ac6Ru2SI3
_symmetry_space_group_name_H-M 'C 1 2/m 1'
_symmetry_Int_Tables_number 12
_cell_length_a 7.635
_cell_length_b 13.219
_cell_length_c 8.957
_cell_angle_alpha 90.00
_cell_angle_beta 106.37
_cell_angle_gamma 90.00
loop_
_symmetry_equiv_pos_as_xyz
'x,y,z'
'-x,-y,-z'
'-x,y,-z'
'x,-y,z'
'x+1/2,y+1/2,z'
'-x+1/2,-y+1/2,-z'
'-x+1/2,y+1/2,-z'
'x+1/2,-y+1/2,z'
loop_
_atom_site_label
_atom_site_fract_x
_atom_site_fract_y
_atom_site_fract_z
Ac1 0.212 0.000 0.187
Ac2 0.237 0.325 0.186
Ru1 0.000 0.167 0.000
S1 0.000 0.500 0.000
I1 0.000 0.000 0.500
I2 0.000 0.333 0.500

(4)
# Ac8Ru3SI3 (PBE-GGA, relaxed)
# - magnetic moment (Bohr magnetons per cell) = 2.4
# - calculated volume (Å³/f.u.) = 572.5
# - total DFT energy (no corrections) (eV/atom) = -5.395
data_Ac8Ru3SI3
_symmetry_space_group_name_H-M 'R -3 m'
_symmetry_Int_Tables_number 166
_symmetry_space_group_name_Hall '-R 3 2"'
_cell_length_a 8.8284
_cell_length_b 8.8284
_cell_length_c 25.4487
_cell_angle_alpha 90.00
_cell_angle_beta 90.00
_cell_angle_gamma 120.00
loop_
_atom_site_label
_atom_site_fract_x
_atom_site_fract_y
_atom_site_fract_z
Ac1 0.0000 0.0000 0.2304
Ac2 0.0159 0.5080 0.7719
Ru1 0.0000 0.5000 0.5000
S1 0.0000 0.0000 0.5000
I1 0.0000 0.5000 0.0000